(1)
Entry from Alexandria: a relaxed structure of LiUBr6 (PBE).

Calculated values
- Total magnetization: 0.125 μB/atom
- Formation energy without anion corrections: -1.301 eV per atom
- Symmetry: C2/m, No. 12
- Polymorph energy (0 for the lowest one): 0.0 meV/atom
- Calculated density: 4013 kg/m³

Unit cell a=7.5054 b=7.5054 c=6.9645 alpha=99.96 beta=99.96 gamma=124.60
With the nearest neighbours (Å) after each atom.
Positions (direct):
Li  0.0000  0.0000  0.0000  4 Br 2.71
U  0.5000  0.5000  0.5000  6 Br 2.67-2.72
Br  0.1081  0.3914  0.2491  1 Li 2.71, 1 U 2.72
Br  0.2683  0.2683  0.7311  1 U 2.67
Br  0.3914  0.1081  0.2491  1 Li 2.71, 1 U 2.72
Br  0.6086  0.8919  0.7509  1 Li 2.71, 1 U 2.72
Br  0.7317  0.7317  0.2689  1 U 2.67
Br  0.8919  0.6086  0.7509  1 Li 2.71, 1 U 2.72

(2)
Entry from Alexandria: a relaxed structure of AlNiPt2 (PBE).

Calculated values
- Formation energy: -0.2302 eV/atom
- Total magnetization: 0.000 μB/atom
- Symmetry: I-42d, No. 122
- Calculated density: 12631 kg/m³

Unit cell a=8.9940 b=8.9940 c=8.9940 alpha=155.49 beta=155.49 gamma=34.94
With the nearest neighbours (Å) after each atom.
Positions (direct):
Al  0.0000  0.0000  0.0000  4 Pt 2.54, 4 Ni 2.70
Al  0.7500  0.2500  0.5000  4 Pt 2.54, 4 Ni 2.70
Ni  0.2500  0.7500  0.5000  4 Pt 2.53, 4 Al 2.70
Ni  0.5000  0.5000  0.0000  4 Pt 2.53, 4 Al 2.70
Pt  0.1312  0.6250  0.0062  2 Ni 2.53, 2 Al 2.54, 4 Pt 2.67-2.73
Pt  0.3750  0.3812  0.5062  2 Ni 2.53, 2 Al 2.54, 4 Pt 2.67-2.73
Pt  0.6188  0.1250  0.9938  2 Ni 2.53, 2 Al 2.54, 4 Pt 2.67-2.73
Pt  0.8750  0.8688  0.4938  2 Ni 2.53, 2 Al 2.54, 4 Pt 2.67-2.73

Which of these has the lowest total magnetization? AlNiPt2

The highest calculated density belongs to which entry? AlNiPt2